A relaxed ScCu2Ag crystal, computed with PBEsol.

a b c (Å): 3.2192 3.2192 5.8523
angles (deg): 90.00 90.00 90.00
Closest atoms and distances in Å follow each position.
Fractional coordinates of all 4 atoms:
Sc  0.0000  0.0000  0.0000  8 Cu 2.75, 2 Ag 2.93
Cu  0.5000  0.5000  0.2648  4 Ag 2.66, 1 Cu 2.75, 4 Sc 2.75
Cu  0.5000  0.5000  0.7352  4 Ag 2.66, 1 Cu 2.75, 4 Sc 2.75
Ag  0.0000  0.0000  0.5000  8 Cu 2.66, 2 Sc 2.93

Results
The formation enthalpy at 0 K is -11.8 kJ/mol of atoms. As for the crystal system: tetragonal. For the density of states at the Fermi level, the calculation gives 1.56 states/eV per cell.

A relaxed ScCu4Ag crystal, computed with PBEsol.

a b c (Å): 4.8646 4.8646 4.8646
angles (deg): 60.00 60.00 60.00
Closest atoms and distances in Å follow each position.
Fractional coordinates of all 6 atoms:
Sc  0.0000  0.0000  0.0000  12 Cu 2.85, 4 Ag 2.98
Cu  0.3753  0.3753  0.3753  6 Cu 2.43-2.44
Cu  0.3753  0.3753  0.8740  6 Cu 2.43-2.44
Cu  0.3753  0.8740  0.3753  6 Cu 2.43-2.44
Cu  0.8740  0.3753  0.3753  6 Cu 2.43-2.44
Ag  0.7500  0.7500  0.7500  12 Cu 2.85, 4 Sc 2.98

Results
The formation enthalpy at 0 K is -21.4 kJ/mol of atoms. As for the crystal system: cubic. For the density of states at the Fermi level, the calculation gives 4.23 states/eV per cell.

A relaxed ScCu2Ag crystal, computed with PBEsol.

a b c (Å): 4.0401 4.0401 7.3022
angles (deg): 90.00 90.00 90.00
Closest atoms and distances in Å follow each position.
Fractional coordinates of all 8 atoms:
Sc  0.0000  0.0000  0.0000  8 Cu 2.72, 4 Ag 2.86
Sc  0.5000  0.5000  0.5000  8 Cu 2.72, 4 Ag 2.86
Cu  0.0000  0.5000  0.2500  4 Sc 2.72, 4 Ag 2.72, 4 Cu 2.86
Cu  0.0000  0.5000  0.7500  4 Sc 2.72, 4 Ag 2.72, 4 Cu 2.86
Cu  0.5000  0.0000  0.2500  4 Sc 2.72, 4 Ag 2.72, 4 Cu 2.86
Cu  0.5000  0.0000  0.7500  4 Sc 2.72, 4 Ag 2.72, 4 Cu 2.86
Ag  0.0000  0.0000  0.5000  8 Cu 2.72, 4 Sc 2.86
Ag  0.5000  0.5000  0.0000  8 Cu 2.72, 4 Sc 2.86

Results
The formation enthalpy at 0 K is -16.0 kJ/mol of atoms. As for the crystal system: tetragonal. For the density of states at the Fermi level, the calculation gives 3.64 states/eV per cell.

A relaxed ScCuAg crystal, computed with PBEsol.

a b c (Å): 3.3720 3.3720 8.5930
angles (deg): 90.00 90.00 90.00
Closest atoms and distances in Å follow each position.
Fractional coordinates of all 6 atoms:
Sc  0.0000  0.0000  0.0000  5 Cu 2.76-2.91, 5 Ag 2.77-2.83
Sc  0.5000  0.5000  0.5000  5 Cu 2.76-2.91, 5 Ag 2.77-2.83
Cu  0.0000  0.0000  0.3387  5 Ag 2.76-2.91, 5 Sc 2.76-2.91
Cu  0.5000  0.5000  0.8387  5 Ag 2.76-2.91, 5 Sc 2.76-2.91
Ag  0.0000  0.0000  0.6776  5 Cu 2.76-2.91, 5 Sc 2.77-2.83
Ag  0.5000  0.5000  0.1776  5 Cu 2.76-2.91, 5 Sc 2.77-2.83

Results
The formation enthalpy at 0 K is -25.5 kJ/mol of atoms. As for the crystal system: tetragonal. For the density of states at the Fermi level, the calculation gives 2.18 states/eV per cell.

A relaxed Sc2CuAgSe crystal, computed with PBEsol.

a b c (Å): 4.9589 4.9589 4.3535
angles (deg): 90.00 90.00 90.00
Closest atoms and distances in Å follow each position.
Fractional coordinates of all 5 atoms:
Sc  0.0000  0.5000  0.0000  2 Se 2.48
Sc  0.5000  0.0000  0.0000  2 Se 2.48
Cu  0.0000  0.0000  0.5000  2 Se 2.18
Ag  0.5000  0.5000  0.5000  8 Sc 3.30, 4 Cu 3.51
Se  0.0000  0.0000  0.0000  2 Cu 2.18

Results
As for the crystal system: tetragonal. For the density of states at the Fermi level, the calculation gives 4.67 states/eV per cell.

A relaxed CuAgSe2 crystal, computed with PBEsol.

a b c (Å): 5.7943 5.7943 10.4907
angles (deg): 90.00 90.00 90.00
Closest atoms and distances in Å follow each position.
Fractional coordinates of all 16 atoms:
Cu  0.0000  0.0000  0.0000  4 Se 2.32
Cu  0.0000  0.5000  0.2500  4 Se 2.32
Cu  0.5000  0.0000  0.7500  4 Se 2.32
Cu  0.5000  0.5000  0.5000  4 Se 2.32
Ag  0.0000  0.0000  0.5000  4 Se 2.55
Ag  0.0000  0.5000  0.7500  4 Se 2.55
Ag  0.5000  0.0000  0.2500  4 Se 2.55
Ag  0.5000  0.5000  0.0000  4 Se 2.55
Se  0.2174  0.2500  0.1250  2 Cu 2.32, 2 Ag 2.55
Se  0.2500  0.7174  0.3750  2 Cu 2.32, 2 Ag 2.55
Se  0.2500  0.7826  0.8750  2 Cu 2.32, 2 Ag 2.55
Se  0.2826  0.2500  0.6250  2 Cu 2.32, 2 Ag 2.55
Se  0.7174  0.7500  0.6250  2 Cu 2.32, 2 Ag 2.55
Se  0.7500  0.2174  0.8750  2 Cu 2.32, 2 Ag 2.55
Se  0.7500  0.2826  0.3750  2 Cu 2.32, 2 Ag 2.55
Se  0.7826  0.7500  0.1250  2 Cu 2.32, 2 Ag 2.55

Results
As for the crystal system: tetragonal. For the density of states at the Fermi level, the calculation gives 12.04 states/eV per cell.

A relaxed CuAgSe2 crystal, computed with PBEsol.

a b c (Å): 7.3774 3.5571 6.3588
angles (deg): 90.00 112.47 90.00
Closest atoms and distances in Å follow each position.
Fractional coordinates of all 8 atoms:
Cu  0.0000  0.0000  0.0000  4 Se 2.37
Cu  0.5000  0.5000  0.0000  4 Se 2.37
Ag  0.0000  0.5000  0.5000  2 Se 2.54
Ag  0.5000  0.0000  0.5000  2 Se 2.54
Se  0.1807  0.5000  0.2313  2 Cu 2.37, 1 Ag 2.54
Se  0.3193  0.0000  0.7687  2 Cu 2.37, 1 Ag 2.54
Se  0.6807  0.0000  0.2313  2 Cu 2.37, 1 Ag 2.54
Se  0.8193  0.5000  0.7687  2 Cu 2.37, 1 Ag 2.54

Results
As for the crystal system: monoclinic. For the density of states at the Fermi level, the calculation gives 2.23 states/eV per cell.

A relaxed CuAgSe2 crystal, computed with PBEsol.

a b c (Å): 3.4961 3.4961 5.6862
angles (deg): 90.00 90.00 90.00
Closest atoms and distances in Å follow each position.
Fractional coordinates of all 4 atoms:
Cu  0.0000  0.0000  0.0000  8 Se 2.81, 2 Ag 2.84
Ag  0.0000  0.0000  0.5000  2 Cu 2.84, 8 Se 2.90
Se  0.5000  0.5000  0.2338  1 Se 2.66, 4 Cu 2.81, 4 Ag 2.90
Se  0.5000  0.5000  0.7662  1 Se 2.66, 4 Cu 2.81, 4 Ag 2.90

Results
As for the crystal system: tetragonal. For the density of states at the Fermi level, the calculation gives 3.04 states/eV per cell.

| no. | electronic total energy (eV for the cell shown) | total moment (μB/cell) | V (A^3/atom) |
| --- | --- | --- | --- |
| 1 | -19.1 | 0.0 | 15.16 |
| 2 | -28.6 | 0.0 | 13.57 |
| 3 | -38.5 | 0.0 | 14.90 |
| 4 | -30.1 | 0.0 | 16.28 |
| 5 | -25.4 | 0.0 | 21.41 |
| 6 | -61.4 | 0.0 | 22.01 |
| 7 | -31.3 | 0.0 | 19.28 |
| 8 | -14.4 | 0.0 | 17.38 |